1.
# AcTmThCd (GGA-PBE, optimized geometry)
# - Total moment: 0.00 μB per cell
# - Crystal system: cubic
# - DFT formation energy: 0.170 eV/atom
# - D(E_F): 24.21 states/eV per cell
data_AcTmThCd
_space_group_name_H-M_alt 'F -4 3 m'
_space_group_IT_number 216
_space_group_name_Hall 'F -4 2 3'
_cell_length_a 7.9496
_cell_length_b 7.9496
_cell_length_c 7.9496
_cell_angle_alpha 90.00
_cell_angle_beta 90.00
_cell_angle_gamma 90.00
loop_
_atom_site_label
_atom_site_type_symbol
_atom_site_fract_x
_atom_site_fract_y
_atom_site_fract_z
Ac1 Ac 0.0000 0.0000 0.0000
Tm1 Tm 0.2500 0.2500 0.7500
Th1 Th 0.2500 0.2500 0.2500
Cd1 Cd 0.0000 0.0000 0.5000

2.
# Zn2BiSbO6 (GGA-PBE, optimized geometry)
# - Total moment: 0.00 μB per cell
# - Crystal system: trigonal
# - Formation energy without anion corrections: -1.362 eV/atom
# - D(E_F): 0.00 states/eV per cell
data_Zn2BiSbO6
_space_group_name_H-M_alt 'R 3'
_space_group_IT_number 146
_space_group_name_Hall 'R 3'
_cell_length_a 5.4083
_cell_length_b 5.4083
_cell_length_c 16.1036
_cell_angle_alpha 90.00
_cell_angle_beta 90.00
_cell_angle_gamma 120.00
loop_
_atom_site_label
_atom_site_type_symbol
_atom_site_fract_x
_atom_site_fract_y
_atom_site_fract_z
Zn1 Zn 0.0000 0.0000 0.0000
Zn2 Zn 0.0000 0.0000 0.4095
Bi1 Bi 0.0000 0.0000 0.2071
Sb1 Sb 0.0000 0.0000 0.7185
O1 O 0.0074 0.6926 0.7880
O2 O 0.0297 0.3416 0.3167

3.
# EuGeAu (GGA-PBE, optimized geometry)
# - Total moment: 28.37 μB per cell
# - Crystal system: orthorhombic
# - DFT formation energy: -0.746 eV/atom
# - D(E_F): 27.50 states/eV per cell
data_EuGeAu
_space_group_name_H-M_alt 'I m m 2'
_space_group_IT_number 44
_cell_length_a 4.6352
_cell_length_b 7.4211
_cell_length_c 7.9419
_cell_angle_alpha 90.00
_cell_angle_beta 90.00
_cell_angle_gamma 90.00
loop_
_space_group_symop_operation_xyz
'x,y,z'
'-x,-y,z'
'-x,y,z'
'x,-y,z'
'x+1/2,y+1/2,z+1/2'
'-x+1/2,-y+1/2,z+1/2'
'-x+1/2,y+1/2,z+1/2'
'x+1/2,-y+1/2,z+1/2'
loop_
_atom_site_label
_atom_site_type_symbol
_atom_site_fract_x
_atom_site_fract_y
_atom_site_fract_z
Eu1 Eu 0.0000 0.0000 0.0000
Eu2 Eu 0.0000 0.5000 0.0747
Ge1 Ge 0.0000 0.1876 0.3714
Au1 Au 0.0000 0.2835 0.7026

4.
# OsCO2F (GGA-PBE, optimized geometry)
# - Total moment: 4.42 μB per cell
# - Crystal system: tetragonal
# - Formation energy without anion corrections: 1.416 eV/atom
# - D(E_F): 1.81 states/eV per cell
data_OsCO2F
_space_group_name_H-M_alt 'P 4/m m m'
_space_group_IT_number 123
_space_group_name_Hall '-P 4 2'
_cell_length_a 3.6258
_cell_length_b 3.6258
_cell_length_c 3.7532
_cell_angle_alpha 90.00
_cell_angle_beta 90.00
_cell_angle_gamma 90.00
loop_
_atom_site_label
_atom_site_type_symbol
_atom_site_fract_x
_atom_site_fract_y
_atom_site_fract_z
Os1 Os 0.0000 0.0000 0.0000
C1 C 0.5000 0.5000 0.5000
O1 O 0.0000 0.5000 0.5000
F1 F 0.5000 0.5000 0.0000

5.
# AlCrSe2 (GGA-PBE, optimized geometry)
# - Total moment: 1.05 μB per cell
# - Crystal system: tetragonal
# - Formation energy without anion corrections: -0.014 eV/atom
# - D(E_F): 20.00 states/eV per cell
data_AlCrSe2
_space_group_name_H-M_alt 'I -4 2 d'
_space_group_IT_number 122
_space_group_name_Hall 'I -4 2bw'
_cell_length_a 5.6722
_cell_length_b 5.6722
_cell_length_c 10.9034
_cell_angle_alpha 90.00
_cell_angle_beta 90.00
_cell_angle_gamma 90.00
loop_
_atom_site_label
_atom_site_type_symbol
_atom_site_fract_x
_atom_site_fract_y
_atom_site_fract_z
Al1 Al 0.0000 0.0000 0.0000
Cr1 Cr 0.0000 0.0000 0.5000
Se1 Se 0.2399 0.2500 0.6250

6.
# CoMoRu2 (GGA-PBE, optimized geometry)
# - Total moment: 4.59 μB per cell
# - Crystal system: trigonal
# - DFT formation energy: 0.151 eV/atom
# - D(E_F): 13.87 states/eV per cell
data_CoMoRu2
_space_group_name_H-M_alt 'R 3 m'
_space_group_IT_number 160
_space_group_name_Hall 'R 3 -2"'
_cell_length_a 2.7175
_cell_length_b 2.7175
_cell_length_c 25.8702
_cell_angle_alpha 90.00
_cell_angle_beta 90.00
_cell_angle_gamma 120.00
loop_
_atom_site_label
_atom_site_type_symbol
_atom_site_fract_x
_atom_site_fract_y
_atom_site_fract_z
Co1 Co 0.0000 0.0000 0.0000
Mo1 Mo 0.0000 0.0000 0.8344
Ru1 Ru 0.0000 0.0000 0.2553
Ru2 Ru 0.0000 0.0000 0.4136

7.
# CdRu (GGA-PBE, optimized geometry)
# - Total moment: 0.03 μB per cell
# - Crystal system: orthorhombic
# - DFT formation energy: 0.384 eV/atom
# - D(E_F): 8.99 states/eV per cell
data_CdRu
_space_group_name_H-M_alt 'I m m a'
_space_group_IT_number 74
_space_group_name_Hall '-I 2b 2'
_cell_length_a 2.9140
_cell_length_b 4.8250
_cell_length_c 9.8667
_cell_angle_alpha 90.00
_cell_angle_beta 90.00
_cell_angle_gamma 90.00
loop_
_atom_site_label
_atom_site_type_symbol
_atom_site_fract_x
_atom_site_fract_y
_atom_site_fract_z
Cd1 Cd 0.0000 0.2500 0.1111
Ru1 Ru 0.0000 0.2500 0.6455

8.
# DyMgH6Ir2 (GGA-PBE, optimized geometry)
# - Total moment: 0.00 μB per cell
# - Crystal system: trigonal
# - Final energy: -144.2 eV per cell
# - D(E_F): 7.82 states/eV per cell
data_DyMgH6Ir2
_space_group_name_H-M_alt 'R -3 m'
_space_group_IT_number 166
_space_group_name_Hall '-R 3 2"'
_cell_length_a 4.5690
_cell_length_b 4.5690
_cell_length_c 15.5021
_cell_angle_alpha 90.00
_cell_angle_beta 90.00
_cell_angle_gamma 120.00
loop_
_atom_site_label
_atom_site_type_symbol
_atom_site_fract_x
_atom_site_fract_y
_atom_site_fract_z
Dy1 Dy 0.0000 0.0000 0.0000
Mg1 Mg 0.0000 0.0000 0.5000
H1 H 0.0032 0.5016 0.9414
Ir1 Ir 0.0000 0.0000 0.2096